No. 1
Computed, not measured: an optimized crystal structure of Na2BeTe4 at the PBE level of DFT.

Properties
formation energy (no corrections) = -0.10 eV per atom
final energy = -2.806 eV/atom

Cell and atoms, written as CIF:
```
data_Na2BeTe4
_cell_length_a 5.318
_cell_length_b 5.318
_cell_length_c 15.093
_cell_angle_alpha 90.00
_cell_angle_beta 90.00
_cell_angle_gamma 90.00
_symmetry_space_group_name_H-M 'I 4/m m m'
_symmetry_Int_Tables_number 139
_symmetry_space_group_name_Hall '-I 4 2'
loop_
_atom_site_label
_atom_site_fract_x
_atom_site_fract_y
_atom_site_fract_z
Na1 0.000 0.000 0.133
Be1 0.000 0.000 0.500
Te1 0.000 0.000 0.339
Te2 0.000 0.500 0.000
```

=====

No. 2
Computed, not measured: an optimized crystal structure of PuTeOs at the PBE level of DFT.

Properties
formation energy (no corrections) = 0.15 eV per atom
final energy = -9.413 eV/atom

Cell and atoms, written as CIF:
```
data_PuTeOs
_cell_length_a 4.519
_cell_length_b 4.799
_cell_length_c 11.871
_cell_angle_alpha 90.00
_cell_angle_beta 90.00
_cell_angle_gamma 90.00
_symmetry_space_group_name_H-M 'C m m m'
_symmetry_Int_Tables_number 65
_symmetry_space_group_name_Hall '-C 2 2'
loop_
_atom_site_label
_atom_site_fract_x
_atom_site_fract_y
_atom_site_fract_z
Pu1 0.000 0.000 0.150
Te1 0.000 0.500 0.358
Os1 0.000 0.000 0.500
Os2 0.000 0.500 0.000
```

=====

No. 3
Computed, not measured: an optimized crystal structure of CsTi2TlBr8 at the PBE level of DFT.

Properties
formation energy (no corrections) = -1.20 eV per atom
final energy = -3.899 eV/atom

Cell and atoms, written as CIF:
```
data_CsTi2TlBr8
_cell_length_a 7.2459
_cell_length_b 7.2459
_cell_length_c 11.1985
_cell_angle_alpha 90.00
_cell_angle_beta 90.00
_cell_angle_gamma 120.00
_symmetry_space_group_name_H-M 'P -3'
_symmetry_Int_Tables_number 147
loop_
_symmetry_equiv_pos_as_xyz
'x,y,z'
'-x,-y,-z'
'-y,x-y,z'
'y,-x+y,-z'
'-x+y,-x,z'
'x-y,x,-z'
loop_
_atom_site_label
_atom_site_fract_x
_atom_site_fract_y
_atom_site_fract_z
Cs1 0.0000 0.0000 0.0000
Ti1 0.3333 0.6667 0.7694
Tl1 0.0000 0.0000 0.5000
Br1 0.0135 0.3456 0.7044
Br2 0.3333 0.6667 0.9857
```

=====

No. 4
Computed, not measured: an optimized crystal structure of Sc11Ag9Au4 at the PBE level of DFT.

Properties
DFT formation energy = -0.4214 eV per atom
final energy = -4.939 eV/atom

Cell and atoms, written as CIF:
```
data_Sc11Ag9Au4
_cell_length_a 13.723
_cell_length_b 20.793
_cell_length_c 3.397
_cell_angle_alpha 90.00
_cell_angle_beta 90.00
_cell_angle_gamma 90.00
_symmetry_space_group_name_H-M 'C m m m'
_symmetry_Int_Tables_number 65
_symmetry_space_group_name_Hall '-C 2 2'
loop_
_atom_site_label
_atom_site_fract_x
_atom_site_fract_y
_atom_site_fract_z
Sc1 0.000 0.000 0.000
Sc2 0.000 0.167 0.000
Sc3 0.000 0.355 0.000
Sc4 0.229 0.500 0.000
Sc5 0.240 0.172 0.000
Ag1 0.000 0.500 0.500
Ag2 0.111 0.258 0.500
Ag3 0.128 0.078 0.500
Au1 0.150 0.403 0.500
```

=====

No. 5
Computed, not measured: an optimized crystal structure of AcCu4Au3O12 at the PBE level of DFT.

Properties
formation energy (no corrections) = -0.69 eV per atom
final energy = -5.181 eV/atom

Cell and atoms, written as CIF:
```
data_AcCu4Au3O12
_cell_length_a 7.658
_cell_length_b 7.658
_cell_length_c 7.658
_cell_angle_alpha 90.00
_cell_angle_beta 90.00
_cell_angle_gamma 90.00
_symmetry_space_group_name_H-M 'I m -3'
_symmetry_Int_Tables_number 204
_symmetry_space_group_name_Hall '-I 2 2 3'
loop_
_atom_site_label
_atom_site_fract_x
_atom_site_fract_y
_atom_site_fract_z
Ac1 0.000 0.000 0.000
Cu1 0.250 0.250 0.250
Au1 0.000 0.000 0.500
O1 0.000 0.303 0.179
```

=====

No. 6
Computed, not measured: an optimized crystal structure of LaPtW3 at the PBE level of DFT.

Properties
DFT formation energy = 1.5599 eV per atom
final energy = -8.406 eV/atom
offset from the most stable computed form = 0 meV/atom

Cell and atoms, written as CIF:
```
data_LaPtW3
_cell_length_a 4.906
_cell_length_b 4.906
_cell_length_c 4.906
_cell_angle_alpha 90.00
_cell_angle_beta 90.00
_cell_angle_gamma 90.00
_symmetry_space_group_name_H-M 'P m -3 m'
_symmetry_Int_Tables_number 221
_symmetry_space_group_name_Hall '-P 4 2 3'
loop_
_atom_site_label
_atom_site_fract_x
_atom_site_fract_y
_atom_site_fract_z
La1 0.000 0.000 0.000
Pt1 0.500 0.500 0.500
W1 0.000 0.500 0.500
```

=====

No. 7
Computed, not measured: an optimized crystal structure of Ca2CdTe2 at the PBE level of DFT.

Properties
formation energy (no corrections) = -1.07 eV per atom
final energy = -3.307 eV/atom
offset from the most stable computed form = 0 meV/atom

Cell and atoms, written as CIF:
```
data_Ca2CdTe2
_cell_length_a 8.718
_cell_length_b 8.718
_cell_length_c 4.071
_cell_angle_alpha 90.00
_cell_angle_beta 90.00
_cell_angle_gamma 90.00
_symmetry_space_group_name_H-M 'P 4/m b m'
_symmetry_Int_Tables_number 127
_symmetry_space_group_name_Hall '-P 4 2ab'
loop_
_atom_site_label
_atom_site_fract_x
_atom_site_fract_y
_atom_site_fract_z
Ca1 0.146 0.354 0.000
Cd1 0.000 0.000 0.000
Te1 0.156 0.656 0.500
```

=====

No. 8
Computed, not measured: an optimized crystal structure of CaPtAu2 at the PBE level of DFT.

Properties
DFT formation energy = -0.4731 eV per atom
final energy = -4.122 eV/atom
offset from the most stable computed form = 97 meV/atom

Cell and atoms, written as CIF:
```
data_CaPtAu2
_cell_length_a 6.790
_cell_length_b 6.790
_cell_length_c 6.790
_cell_angle_alpha 90.00
_cell_angle_beta 90.00
_cell_angle_gamma 90.00
_symmetry_space_group_name_H-M 'F m -3 m'
_symmetry_Int_Tables_number 225
_symmetry_space_group_name_Hall '-F 4 2 3'
loop_
_atom_site_label
_atom_site_fract_x
_atom_site_fract_y
_atom_site_fract_z
Ca1 0.000 0.000 0.000
Pt1 0.000 0.000 0.500
Au1 0.250 0.250 0.250
```